The following is a DFT calculation (PBE) of a relaxed Tm2AgAu crystal.

The calculated volume is 90.8 Å³/cell. The density of states at the Fermi level comes out at 0.32 states/eV per atom. The energy of formation from the pure elements is -0.62 eV/atom.

Cell: 5.0448 5.0448 5.0448 Å, 60.00 60.00 60.00°
Last column: nearest neighbours and their distance in Å.
Fractional positions:
Tm (0.0000, 0.0000, 0.0000)  4 Au 3.09, 4 Ag 3.09
Tm (0.5000, 0.5000, 0.5000)  4 Ag 3.09, 4 Au 3.09
Ag (0.2500, 0.2500, 0.2500)  8 Tm 3.09
Au (0.7500, 0.7500, 0.7500)  8 Tm 3.09